# TlOs2Rh

A geometry-optimized TlOs2Rh structure (PBE, the Alexandria database).

abc: 9.3259 2.8511 4.9474
angles: 90.00 99.86 90.00
Sites, in units of the cell vectors:
Tl 0.0000 0.0000 0.0000
Tl 0.5000 0.5000 0.0000
Os 0.2392 0.0000 0.7175
Os 0.2608 0.5000 0.2825
Os 0.7392 0.5000 0.7175
Os 0.7608 0.0000 0.2825
Rh 0.0000 0.5000 0.5000
Rh 0.5000 0.0000 0.5000

Results
**Total DFT energy (no corrections)**: -7.43 eV per atom
**Total moment**: 0.00 μB/cell
**V**: 16.201 A^3/atom
**Formation energy**: 0.619 eV per atom
**Distance to the lowest polymorph of the same formula**: 0.219 eV/atom

=====

# Tl2Os4Rh

A geometry-optimized Tl2Os4Rh structure (PBE, the Alexandria database).

abc: 4.6777 4.6777 14.1129
angles: 90.00 90.00 90.00
Sites, in units of the cell vectors:
Tl 0.0000 0.0000 0.1325
Tl 0.0000 0.0000 0.8675
Tl 0.5000 0.5000 0.3675
Tl 0.5000 0.5000 0.6325
Os 0.0000 0.0000 0.3231
Os 0.0000 0.0000 0.6769
Os 0.0000 0.5000 0.0000
Os 0.0000 0.5000 0.5000
Os 0.5000 0.0000 0.0000
Os 0.5000 0.0000 0.5000
Os 0.5000 0.5000 0.1769
Os 0.5000 0.5000 0.8231
Rh 0.0000 0.0000 0.5000
Rh 0.5000 0.5000 0.0000

Results
**Total DFT energy (no corrections)**: -5.91 eV per atom
**Total moment**: 10.44 μB/cell
**V**: 22.058 A^3/atom
**Formation energy**: 2.233 eV per atom

=====

# TlOs2Rh

A geometry-optimized TlOs2Rh structure (PBE, the Alexandria database).

abc: 5.3545 8.4182 2.8755
angles: 90.00 90.00 90.00
Sites, in units of the cell vectors:
Tl 0.0000 0.0000 0.0000
Tl 0.5000 0.5000 0.0000
Os 0.2500 0.2500 0.5000
Os 0.2500 0.7500 0.5000
Os 0.7500 0.2500 0.5000
Os 0.7500 0.7500 0.5000
Rh 0.0000 0.5000 0.0000
Rh 0.5000 0.0000 0.0000

Results
**Total DFT energy (no corrections)**: -7.18 eV per atom
**Total moment**: 0.00 μB/cell
**V**: 16.202 A^3/atom
**Formation energy**: 0.867 eV per atom
**Distance to the lowest polymorph of the same formula**: 0.468 eV/atom

=====

# TlOs2Rh

A geometry-optimized TlOs2Rh structure (PBE, the Alexandria database).

abc: 2.8680 4.9178 4.7168
angles: 90.00 91.95 90.00
Sites, in units of the cell vectors:
Tl 0.0000 0.0000 0.0000
Os 0.2158 0.5000 0.2720
Os 0.7842 0.5000 0.7280
Rh 0.5000 0.0000 0.5000

Results
**Total DFT energy (no corrections)**: -7.25 eV per atom
**Total moment**: 0.00 μB/cell
**V**: 16.622 A^3/atom
**Formation energy**: 0.790 eV per atom
**Distance to the lowest polymorph of the same formula**: 0.391 eV/atom

=====

# TlOs2Rh

A geometry-optimized TlOs2Rh structure (PBE, the Alexandria database).

abc: 2.8595 2.8595 7.9573
angles: 90.00 90.00 90.00
Sites, in units of the cell vectors:
Tl 0.0000 0.0000 0.0000
Os 0.0000 0.0000 0.4949
Os 0.5000 0.5000 0.2853
Rh 0.5000 0.5000 0.7308

Results
**Total DFT energy (no corrections)**: -7.65 eV per atom
**Total moment**: 0.00 μB/cell
**V**: 16.266 A^3/atom
**Formation energy**: 0.399 eV per atom
**Distance to the lowest polymorph of the same formula**: 0.000 eV/atom

=====

# TlOs2Rh

A geometry-optimized TlOs2Rh structure (PBE, the Alexandria database).

abc: 2.8047 4.3646 11.6016
angles: 90.00 90.00 90.00
Sites, in units of the cell vectors:
Tl 0.0000 0.0000 0.0000
Tl 0.5000 0.5000 0.5000
Os 0.0000 0.0000 0.5877
Os 0.0000 0.5000 0.2659
Os 0.5000 0.0000 0.7659
Os 0.5000 0.5000 0.0877
Rh 0.0000 0.5000 0.8316
Rh 0.5000 0.0000 0.3316

Results
**Total DFT energy (no corrections)**: -7.29 eV per atom
**Total moment**: 0.00 μB/cell
**V**: 17.752 A^3/atom
**Formation energy**: 0.753 eV per atom
**Distance to the lowest polymorph of the same formula**: 0.354 eV/atom